Entry 1:
AlNi3Mo after structural relaxation. Source: Alexandria via LeMat-Bulk, functional GGA-PBE.

The structure in POSCAR format:
```
AlNi3Mo
1.0
4.481 0.000 0.000
0.000 4.481 0.000
0.000 0.000 4.481
Ni Mo Al
3 1 1
Cartesian
0.000 2.241 0.000
0.000 0.000 2.241
2.241 0.000 0.000
0.000 0.000 0.000
2.241 2.241 2.241
```

Properties
total magnetization = 0.00 μB/cell
energy relative to the elements = 1264.0 meV per atom
distance to the lowest polymorph of the same formula = 353 meV per atom
symmetry = No. 221

=====

Entry 2:
AlNi2Mo after structural relaxation. Source: Alexandria via LeMat-Bulk, functional GGA-PBE.

The structure in POSCAR format:
```
AlNi2Mo
1.0
-0.484 1.375 -3.346
-0.337 -3.378 -1.339
-8.730 -0.700 -1.014
Ni Mo Al
4 2 2
Cartesian
-2.523 0.249 -2.481
-2.458 -2.102 -1.539
-6.859 -1.307 -2.530
-7.263 -2.247 -4.847
0.000 0.000 0.000
-4.813 -0.163 -3.351
-0.411 -1.002 -2.343
-4.739 -2.540 -2.348
```

Properties
total magnetization = 0.00 μB/cell
energy relative to the elements = 236.3 meV per atom
symmetry = No. 122

=====

Entry 3:
AlNi2Mo after structural relaxation. Source: Alexandria via LeMat-Bulk, functional GGA-PBE.

The structure in POSCAR format:
```
AlNi2Mo
1.0
2.711 -0.008 0.000
0.008 2.711 0.000
0.000 0.000 6.867
Ni Mo Al
2 1 1
Cartesian
0.000 0.000 0.152
0.000 0.000 3.282
1.359 1.352 5.150
1.359 1.352 1.717
```

Properties
total magnetization = 0.00 μB/cell
energy relative to the elements = -319.3 meV per atom
symmetry = No. 123

=====

Entry 4:
AlNi2Mo after structural relaxation. Source: Alexandria via LeMat-Bulk, functional GGA-PBE.

The structure in POSCAR format:
```
AlNi2Mo
1.0
3.703 0.000 0.000
0.000 2.648 0.043
0.000 2.549 5.307
Ni Mo Al
2 1 1
Cartesian
0.000 2.648 0.050
0.000 2.599 2.668
1.851 3.898 4.013
1.851 1.299 1.338
```

Properties
total magnetization = 0.00 μB/cell
energy relative to the elements = -210.1 meV per atom
symmetry = No. 10

=====

Number 1: uncorrected energy -5.120 eV/atom. Number 2: uncorrected energy -6.298 eV/atom. Number 3: uncorrected energy -6.853 eV/atom. Number 4: uncorrected energy -6.744 eV/atom.